{"formula": "CsKZn2In", "functional": "GGA-PBE", "state": "optimized geometry", "final_energy_ev_per_cell": -4.8, "magnetic_moment_mub_per_cell": 0.00, "sg": "P4/mmm, No. 123", "e_form_kj_per_mol_atoms": 47.7, "lattice_angstrom": [[-2.577, -1.884, 5.408], [5.504, -3.371, 1.449], [2.344, 5.064, 2.881]], "species": ["In", "Cs", "Zn", "Zn", "K"], "frac_coords": [[0.000, 0.500, 0.000], [0.500, 0.500, 0.500], [0.500, 0.000, 0.000], [0.000, 0.000, 0.500], [0.000, 0.000, 0.000]]}